## BeGa2Rh3 (PBE)

Data for BeGa2Rh3 after structural relaxation.

Cell: 2.9557 2.9557 8.8744 Å, 90.00 90.00 90.00°
Atoms (fractional coordinates):
Be 0.5000 0.5000 0.5000
Rh 0.0000 0.0000 0.0000
Ga 0.5000 0.5000 0.1784
Rh 0.0000 0.0000 0.6539
Ga 0.5000 0.5000 0.8216
Rh 0.0000 0.0000 0.3461

Results
Total moment   0.000 Bohr magnetons per cell
DFT formation energy   -688 meV/atom
SG   P4/mmm (123)